[1]
PBE-GGA Ba2LiAu2, relaxed; symmetry = P4/mbm (127); formation enthalpy at 0 K = -0.57 eV/atom; E above lowest polymorph = 32 meV per atom; spin magnetization = 0.0 μB per formula unit
1.0
8.536 0.000 0.000
0.000 8.536 0.000
0.000 0.000 4.545
Ba Li Au
4 2 4
Direct
0.171 0.329 0.000 Ba
0.329 0.829 0.000 Ba
0.671 0.171 0.000 Ba
0.829 0.671 0.000 Ba
0.000 0.000 0.500 Li
0.500 0.500 0.500 Li
0.128 0.628 0.500 Au
0.372 0.128 0.500 Au
0.628 0.872 0.500 Au
0.872 0.372 0.500 Au

[2]
PBE-GGA KAg2IrBr8, relaxed; symmetry = P-1 (2); ΔE_f (raw) = -477 meV/atom; spin magnetization = 0.0 μB per formula unit
1.0
6.691 0.000 0.000
-2.158 6.521 0.000
-1.703 -0.795 8.691
K Ag Ir Br
1 2 1 8
Direct
0.000 0.000 0.000 K
0.008 0.478 0.755 Ag
0.992 0.522 0.245 Ag
0.000 0.000 0.500 Ir
0.207 0.247 0.339 Br
0.233 0.780 0.489 Br
0.250 0.221 0.733 Br
0.274 0.682 0.001 Br
0.726 0.318 0.999 Br
0.750 0.779 0.267 Br
0.767 0.220 0.511 Br
0.793 0.753 0.661 Br

[3]
PBE-GGA InPbCl, relaxed; symmetry = Fmm2 (42); E above lowest polymorph = 18 meV per atom; ΔE_f (raw) = -345 meV/atom; spin magnetization = 0.0 μB per formula unit
1.0
0.000 3.001 7.707
1.790 0.000 7.707
1.790 3.001 0.000
In Pb Cl
1 1 1
Direct
0.000 0.000 0.000 In
0.688 0.688 0.312 Pb
0.358 0.358 0.642 Cl

Copy entry 1 word for word.
PBE-GGA Ba2LiAu2, relaxed; symmetry = P4/mbm (127); formation enthalpy at 0 K = -0.57 eV/atom; E above lowest polymorph = 32 meV per atom; spin magnetization = 0.0 μB per formula unit
1.0
8.536 0.000 0.000
0.000 8.536 0.000
0.000 0.000 4.545
Ba Li Au
4 2 4
Direct
0.171 0.329 0.000 Ba
0.329 0.829 0.000 Ba
0.671 0.171 0.000 Ba
0.829 0.671 0.000 Ba
0.000 0.000 0.500 Li
0.500 0.500 0.500 Li
0.128 0.628 0.500 Au
0.372 0.128 0.500 Au
0.628 0.872 0.500 Au
0.872 0.372 0.500 Au

> Number 2 is which compound?

KAg2IrBr8